Here is a relaxed structure of PmYI5 from Alexandria. Energies are from GGA-PBE.

**DOS(E_F)**: 1.4 states/eV/f.u.
**Energy relative to the elements, uncorrected**: -1342 meV/atom
**Final energy**: -4.0513 eV per atom

abc: 9.4613 4.2211 14.9953
angles: 90.00 96.32 90.00
Closest atoms and distances in Å follow each position.
Space group P2_1/m (No. 11)
One atom of each set of equivalent atoms:
Pm: 0.0887 0.2500 0.1588 (multiplicity 2)  7 I 3.13-3.45
Y: 0.3934 0.7500 0.3509 (multiplicity 2)  7 I 3.11-3.31
I: 0.1301 0.2500 0.7864 (multiplicity 2)  2 Pm 3.13
I: 0.1589 0.2500 0.3754 (multiplicity 2)  2 Y 3.11, 1 Pm 3.24
I: 0.1797 0.7500 0.0170 (multiplicity 2)  3 Pm 3.18-3.45
I: 0.3756 0.7500 0.5698 (multiplicity 2)  3 Y 3.17-3.31
I: 0.4316 0.2500 0.1990 (multiplicity 2)  2 Y 3.16, 1 Pm 3.23


Here is a relaxed structure of PmYI4 from Alexandria. Energies are from GGA-PBE.

**DOS(E_F)**: 3.5 states/eV/f.u.
**Energy relative to the elements, uncorrected**: -1256 meV/atom
**Final energy**: -4.1587 eV per atom

abc: 7.2596 4.1786 8.4121
angles: 90.00 106.13 90.00
Closest atoms and distances in Å follow each position.
Space group P2/m (No. 10)
One atom of each set of equivalent atoms:
Pm: 0.0000 0.0000 0.0000 (multiplicity 1)  6 I 3.15-3.16
Y: 0.5000 0.5000 0.0000 (multiplicity 1)  6 I 3.10
I: 0.2545 0.5000 0.2490 (multiplicity 2)  1 Y 3.10, 2 Pm 3.16
I: 0.2610 0.0000 0.7563 (multiplicity 2)  2 Y 3.10, 1 Pm 3.15


Here is a relaxed structure of Pm2YI8 from Alexandria. Energies are from GGA-PBE.

**DOS(E_F)**: 1.0 states/eV/f.u.
**Energy relative to the elements, uncorrected**: -1238 meV/atom
**Final energy**: -3.8170 eV per atom

abc: 19.8212 8.7526 7.3525
angles: 90.00 97.34 90.00
Closest atoms and distances in Å follow each position.
Space group C2/m (No. 12)
One atom of each set of equivalent atoms:
Pm: 0.1440 0.0000 0.4255 (multiplicity 4)  4 I 2.93-3.05
Y: 0.0000 0.0000 0.0000 (multiplicity 2)  6 I 3.08-3.12
I: 0.0571 0.2582 0.2588 (multiplicity 8)  1 Pm 3.01, 1 Y 3.08
I: 0.1381 0.0000 0.8379 (multiplicity 4)  1 Pm 3.05, 1 Y 3.12
I: 0.2134 0.5000 0.6382 (multiplicity 4)  1 Pm 2.93


Here is a relaxed structure of PmY2I8 from Alexandria. Energies are from GGA-PBE.

**DOS(E_F)**: 0.5 states/eV/f.u.
**Energy relative to the elements, uncorrected**: -1238 meV/atom
**Final energy**: -3.9730 eV per atom

abc: 19.3205 8.9781 7.3708
angles: 90.00 95.30 90.00
Closest atoms and distances in Å follow each position.
Space group C2/m (No. 12)
One atom of each set of equivalent atoms:
Pm: 0.0000 0.0000 0.0000 (multiplicity 2)  6 I 3.15-3.18
Y: 0.1446 0.0000 0.4078 (multiplicity 4)  4 I 2.84-2.97
I: 0.0631 0.2550 0.2587 (multiplicity 8)  1 Y 2.93, 1 Pm 3.15
I: 0.1413 0.0000 0.8092 (multiplicity 4)  1 Y 2.97, 1 Pm 3.18
I: 0.2140 0.5000 0.6667 (multiplicity 4)  1 Y 2.84


Here is a relaxed structure of PmYI from Alexandria. Energies are from GGA-PBE.

**DOS(E_F)**: 3.9 states/eV/f.u.
**Energy relative to the elements, uncorrected**: -545 meV/atom
**ΔE to the lowest computed polymorph**: 0.0 meV per atom
**Final energy**: -4.8002 eV per atom

abc: 3.8801 3.8801 7.6762
angles: 90.00 90.00 120.00
Closest atoms and distances in Å follow each position.
Space group P3m1 (No. 156)
One atom of each set of equivalent atoms:
Pm: 0.0000 0.0000 0.0000 (multiplicity 1)  3 I 3.39, 3 Y 3.51
Y: 0.3333 0.6667 0.6476 (multiplicity 1)  3 I 3.30, 3 Pm 3.51
I: 0.6667 0.3333 0.3322 (multiplicity 1)  3 Y 3.30, 3 Pm 3.39


Here is a relaxed structure of Pm2ZnI from Alexandria. Energies are from GGA-PBE.

**DOS(E_F)**: 3.9 states/eV/f.u.
**Energy relative to the elements, uncorrected**: -556 meV/atom
**ΔE to the lowest computed polymorph**: 5.3 meV per atom
**Final energy**: -3.6368 eV per atom

abc: 4.1795 4.1795 23.9347
angles: 90.00 90.00 120.00
Closest atoms and distances in Å follow each position.
Space group R-3m (No. 166, hexagonal axes)
One atom of each set of equivalent atoms:
Pm: 0.0000 0.0000 0.2392 (multiplicity 6)  3 Zn 2.97, 3 I 3.30
Zn: 0.0000 0.0000 0.5000 (multiplicity 3)  6 Pm 2.97
I: 0.0000 0.0000 0.0000 (multiplicity 3)  6 Pm 3.30


Here is a relaxed structure of PmZnI from Alexandria. Energies are from GGA-PBE.

**DOS(E_F)**: 2.4 states/eV/f.u.
**Energy relative to the elements, uncorrected**: -839 meV/atom
**Final energy**: -3.3642 eV per atom

abc: 7.4944 4.3297 12.1716
angles: 90.00 91.11 90.00
Closest atoms and distances in Å follow each position.
Space group C2/m (No. 12)
One atom of each set of equivalent atoms:
Pm: 0.0051 0.0000 0.1621 (multiplicity 4)  6 Zn 3.15-3.22, 3 I 3.25
Zn: 0.1666 0.5000 0.9954 (multiplicity 4)  3 Zn 2.50
I: 0.1771 0.5000 0.3324 (multiplicity 4)  3 Pm 3.25


Here is a relaxed structure of Pm3ZnI3 from Alexandria. Energies are from GGA-PBE.

**DOS(E_F)**: 5.4 states/eV/f.u.
**Energy relative to the elements, uncorrected**: -930 meV/atom
**Final energy**: -3.8120 eV per atom

abc: 12.4131 12.4131 12.4131
angles: 90.00 90.00 90.00
Closest atoms and distances in Å follow each position.
Space group I4_132 (No. 214)
One atom of each set of equivalent atoms:
Pm: 0.1112 0.3612 0.1250 (multiplicity 24)  2 Zn 2.94, 4 I 3.23-3.29
Zn: 0.1250 0.1250 0.1250 (multiplicity 8)  6 Pm 2.94
I: 0.1159 0.1341 0.6250 (multiplicity 24)  4 Pm 3.23-3.29


Here is a relaxed structure of PmZnI from Alexandria. Energies are from GGA-PBE.

**DOS(E_F)**: 2.4 states/eV/f.u.
**Energy relative to the elements, uncorrected**: -839 meV/atom
**Final energy**: -3.3641 eV per atom

abc: 4.3287 4.3289 12.3661
angles: 80.89 80.70 60.01
Closest atoms and distances in Å follow each position.
Space group P-1 (No. 2)
One atom of each set of equivalent atoms:
Pm: 0.0510 0.0478 0.3377 (multiplicity 2)  6 Zn 3.15-3.22, 3 I 3.25
Zn: 0.3346 0.3347 0.4953 (multiplicity 2)  3 Zn 2.50
I: 0.2290 0.2351 0.8327 (multiplicity 2)  3 Pm 3.25


Here is a relaxed structure of Pm2ZnI2 from Alexandria. Energies are from GGA-PBE.

**DOS(E_F)**: 5.3 states/eV/f.u.
**Energy relative to the elements, uncorrected**: -857 meV/atom
**Final energy**: -3.6324 eV per atom

abc: 4.1733 4.1733 36.2121
angles: 90.00 90.00 120.00
Closest atoms and distances in Å follow each position.
Space group R-3m (No. 166, hexagonal axes)
One atom of each set of equivalent atoms:
Pm: 0.0000 0.0000 0.1153 (multiplicity 6)  3 Zn 3.04, 3 I 3.19
Zn: 0.0000 0.0000 0.5000 (multiplicity 3)  6 Pm 3.04
I: 0.0000 0.0000 0.2760 (multiplicity 6)  3 Pm 3.19


> What is the energy relative to the elements, uncorrected in the tenth record?

-857 meV/atom


> Which value of energy relative to the elements, uncorrected does entry 2 give?

-1256 meV/atom